Record 1
Density functional theory data (PBE+U) for a geometry-optimized Y2CoCuF structure.

crystal system: tetragonal
space group: P4/mmm

Unit cell a=5.4468 b=5.4468 c=3.8748 alpha=90.00 beta=90.00 gamma=90.00
Positions (direct):
Y 0.0000 0.5000 0.0000
Y 0.5000 0.0000 0.0000
Co 0.0000 0.0000 0.5000
Cu 0.5000 0.5000 0.0000
F 0.5000 0.5000 0.5000


Record 2
Density functional theory data (PBE+U) for a geometry-optimized YCoCuF2 structure.

crystal system: tetragonal
space group: P4/mmm

Unit cell a=4.2073 b=4.2073 c=6.0775 alpha=90.00 beta=90.00 gamma=90.00
Positions (direct):
Y 0.0000 0.0000 0.0000
Co 0.5000 0.5000 0.5000
Cu 0.0000 0.0000 0.5000
F 0.0000 0.5000 0.0000
F 0.5000 0.0000 0.0000


Q: Which energy values were calculated for the entries above? A: -0.1746 -0.1920, in Ha/atom.
Q: Which size of the total moment values were calculated for the entries above? A: 0.132 0.511, in μB/atom.
Q: Which DOS(E_F) values were calculated for the entries above? A: 5.45 2.77, in states/eV per cell.